No. 1
Density functional theory data (PBE) for a relaxed structure of SrDy2Al.

Computed properties:
The formation energy from the elements is -89 meV per atom. For the density of states at the Fermi level, the calculation gives 3.72 states/eV per cell. As for the mass density: 5.7 g/cm3.

abc: 3.668 3.668 9.558
angles: 90.00 90.00 90.00
Fractional coordinates of all 4 atoms:
1 Dy 0.000 0.000 0.818
2 Dy 0.000 0.000 0.182
3 Sr 0.500 0.500 0.500
4 Al 0.500 0.500 0.000


No. 2
Density functional theory data (PBE) for a relaxed structure of SrDyAl4.

Computed properties:
The formation energy from the elements is -343 meV per atom. For the density of states at the Fermi level, the calculation gives 3.66 states/eV per cell. As for the mass density: 4.6 g/cm3.

abc: 5.693 5.693 5.693
angles: 60.00 60.00 60.00
Fractional coordinates of all 6 atoms:
1 Dy 0.000 0.000 0.000
2 Sr 0.250 0.250 0.250
3 Al 0.625 0.625 0.625
4 Al 0.124 0.625 0.625
5 Al 0.625 0.124 0.625
6 Al 0.625 0.625 0.124


No. 3
Density functional theory data (PBE) for a relaxed structure of SrDy2Al.

Computed properties:
The formation energy from the elements is 129 meV per atom. For the density of states at the Fermi level, the calculation gives 4.23 states/eV per cell. As for the mass density: 5.5 g/cm3.

abc: 3.645 3.645 11.741
angles: 81.07 81.07 60.00
Fractional coordinates of all 4 atoms:
1 Dy 0.896 0.896 0.312
2 Dy 0.104 0.104 0.688
3 Sr 0.000 0.000 0.000
4 Al 0.500 0.500 0.500


No. 4
Density functional theory data (PBE) for a relaxed structure of SrDyAlZn.

Computed properties:
The formation energy from the elements is -179 meV per atom. For the density of states at the Fermi level, the calculation gives 3.19 states/eV per cell. As for the mass density: 5.4 g/cm3.

abc: 5.311 5.311 5.311
angles: 60.00 60.00 60.00
Fractional coordinates of all 4 atoms:
1 Sr 0.250 0.250 0.250
2 Al 0.500 0.500 0.500
3 Dy 0.750 0.750 0.750
4 Zn 0.000 0.000 0.000


No. 5
Density functional theory data (PBE) for a relaxed structure of Dy2TaAl.

Computed properties:
The formation energy from the elements is 482 meV per atom. For the density of states at the Fermi level, the calculation gives 5.53 states/eV per cell. As for the mass density: 9.3 g/cm3.

abc: 3.133 3.133 11.360
angles: 82.07 82.07 60.00
Fractional coordinates of all 4 atoms:
1 Al 0.500 0.500 0.500
2 Dy 0.909 0.909 0.272
3 Dy 0.091 0.091 0.728
4 Ta 0.000 0.000 0.000


No. 6
Density functional theory data (PBE) for a relaxed structure of DyTaAl.

Computed properties:
The formation energy from the elements is -87 meV per atom. For the density of states at the Fermi level, the calculation gives 6.82 states/eV per cell. As for the mass density: 9.2 g/cm3.

abc: 4.479 7.183 7.183
angles: 120.00 90.00 90.00
Fractional coordinates of all 9 atoms:
1 Dy 0.000 0.000 0.419
2 Dy 0.000 0.419 0.000
3 Dy 0.000 0.581 0.581
4 Ta 0.500 0.220 0.220
5 Ta 0.500 0.000 0.780
6 Ta 0.500 0.780 0.000
7 Al 0.000 0.000 0.000
8 Al 0.500 0.333 0.667
9 Al 0.500 0.667 0.333